Pu2AlGa5: relaxed, GGA-PBE.

Computed properties:
DOS(E_F): 2.531 states/eV per atom
Calculated density: 9155 kg/m3
M_tot: 10.8 μB/cell
Crystal system: tetragonal
Formation energy: -2.7 eV per formula unit
V: 157 Å³ per cell
Symmetry: I4/mmm (139)

Geometry as CIF:
```
data_Pu2AlGa5
_chemical_formula_sum 'Pu2 Al1 Ga5'
_cell_length_a 6.040
_cell_length_b 6.040
_cell_length_c 6.040
_cell_angle_alpha 90.61
_cell_angle_beta 119.65
_cell_angle_gamma 119.65
_symmetry_space_group_name_H-M 'P 1'
_symmetry_Int_Tables_number 1
_symmetry_space_group_name_Hall 'P 1'
loop_
_atom_site_label
_atom_site_type_symbol
_atom_site_fract_x
_atom_site_fract_y
_atom_site_fract_z
_atom_site_occupancy
Pu1 Pu 0.500 0.778 0.278 1
Pu2 Pu 0.500 0.278 0.778 1
Al1 Al 0.000 0.778 0.778 1
Ga1 Ga 0.500 0.278 0.278 1
Ga2 Ga 0.000 0.778 0.278 1
Ga3 Ga 0.500 0.778 0.778 1
Ga4 Ga 0.000 0.278 0.778 1
Ga5 Ga 0.000 0.277 0.277 1
```

PuAl2Ga2: relaxed, GGA-PBE.

Computed properties:
DOS(E_F): 2.168 states/eV per atom
Calculated density: 7722 kg/m3
M_tot: 11.0 μB/cell
Crystal system: orthorhombic
Formation energy: -1.5 eV per formula unit
V: 188 Å³ per cell
Symmetry: Imma (74)

Geometry as CIF:
```
data_PuAl2Ga2
_chemical_formula_sum 'Pu2 Al4 Ga4'
_cell_length_a 7.912
_cell_length_b 7.912
_cell_length_c 7.912
_cell_angle_alpha 148.44
_cell_angle_beta 133.01
_cell_angle_gamma 57.71
_symmetry_space_group_name_H-M 'P 1'
_symmetry_Int_Tables_number 1
_symmetry_space_group_name_Hall 'P 1'
loop_
_atom_site_label
_atom_site_type_symbol
_atom_site_fract_x
_atom_site_fract_y
_atom_site_fract_z
_atom_site_occupancy
Al1 Al 0.000 0.500 0.500 1
Al2 Al 0.354 0.104 0.250 1
Al3 Al 0.500 0.500 0.000 1
Al4 Al 0.646 0.896 0.750 1
Ga1 Ga 0.336 0.304 0.033 1
Ga2 Ga 0.664 0.696 0.967 1
Ga3 Ga 0.771 0.304 0.467 1
Ga4 Ga 0.229 0.696 0.533 1
Pu1 Pu 0.134 0.884 0.250 1
Pu2 Pu 0.866 0.116 0.750 1
```

Pu2AlGa8: relaxed, GGA-PBE.

Computed properties:
DOS(E_F): 1.521 states/eV per atom
Calculated density: 8260 kg/m3
M_tot: 11.0 μB/cell
Crystal system: tetragonal
Formation energy: -3.2 eV per formula unit
V: 216 Å³ per cell
Symmetry: P4/mmm (123)

Geometry as CIF:
```
data_Pu2AlGa8
_chemical_formula_sum 'Pu2 Al1 Ga8'
_cell_length_a 4.440
_cell_length_b 4.440
_cell_length_c 10.939
_cell_angle_alpha 90.00
_cell_angle_beta 90.00
_cell_angle_gamma 90.00
_symmetry_space_group_name_H-M 'P 1'
_symmetry_Int_Tables_number 1
_symmetry_space_group_name_Hall 'P 1'
loop_
_atom_site_label
_atom_site_type_symbol
_atom_site_fract_x
_atom_site_fract_y
_atom_site_fract_z
_atom_site_occupancy
Pu1 Pu 0.000 0.000 0.308 1
Pu2 Pu 0.000 0.000 0.692 1
Ga1 Ga 0.000 0.500 0.130 1
Ga2 Ga 0.500 0.500 0.308 1
Ga3 Ga 0.000 0.500 0.870 1
Ga4 Ga 0.500 0.000 0.130 1
Ga5 Ga 0.500 0.500 0.692 1
Ga6 Ga 0.500 0.000 0.500 1
Ga7 Ga 0.000 0.500 0.500 1
Ga8 Ga 0.500 0.000 0.870 1
Al1 Al 0.000 0.000 0.000 1
```

PuAl3Ga4: relaxed, GGA-PBE.

Computed properties:
DOS(E_F): 1.009 states/eV per atom
Calculated density: 6804 kg/m3
M_tot: 11.0 μB/cell
Crystal system: orthorhombic
Formation energy: -1.2 eV per formula unit
V: 295 Å³ per cell
Symmetry: Pmma (51)

Geometry as CIF:
```
data_PuAl3Ga4
_chemical_formula_sum 'Pu2 Al6 Ga8'
_cell_length_a 4.801
_cell_length_b 6.577
_cell_length_c 9.334
_cell_angle_alpha 90.00
_cell_angle_beta 90.00
_cell_angle_gamma 90.00
_symmetry_space_group_name_H-M 'P 1'
_symmetry_Int_Tables_number 1
_symmetry_space_group_name_Hall 'P 1'
loop_
_atom_site_label
_atom_site_type_symbol
_atom_site_fract_x
_atom_site_fract_y
_atom_site_fract_z
_atom_site_occupancy
Ga1 Ga 0.898 0.784 0.250 1
Ga2 Ga 0.500 0.782 0.000 1
Ga3 Ga 0.500 0.218 0.000 1
Ga4 Ga 0.102 0.216 0.750 1
Ga5 Ga 0.898 0.216 0.250 1
Ga6 Ga 0.500 0.218 0.500 1
Ga7 Ga 0.102 0.784 0.750 1
Ga8 Ga 0.500 0.782 0.500 1
Pu1 Pu 0.000 0.500 0.000 1
Pu2 Pu 0.000 0.500 0.500 1
Al1 Al 0.380 0.000 0.250 1
Al2 Al 0.539 0.500 0.750 1
Al3 Al 0.000 0.000 0.500 1
Al4 Al 0.461 0.500 0.250 1
Al5 Al 0.000 0.000 0.000 1
Al6 Al 0.620 0.000 0.750 1
```

Pu2Al3Ga: relaxed, GGA-PBE.

Computed properties:
DOS(E_F): 2.058 states/eV per atom
Calculated density: 8923 kg/m3
M_tot: 22.3 μB/cell
Crystal system: hexagonal
Formation energy: -2.1 eV per formula unit
V: 238 Å³ per cell
Symmetry: P6_3/mmc (194)

Geometry as CIF:
```
data_Pu2Al3Ga
_chemical_formula_sum 'Pu4 Al6 Ga2'
_cell_length_a 5.575
_cell_length_b 5.575
_cell_length_c 8.832
_cell_angle_alpha 90.00
_cell_angle_beta 90.00
_cell_angle_gamma 120.00
_symmetry_space_group_name_H-M 'P 1'
_symmetry_Int_Tables_number 1
_symmetry_space_group_name_Hall 'P 1'
loop_
_atom_site_label
_atom_site_type_symbol
_atom_site_fract_x
_atom_site_fract_y
_atom_site_fract_z
_atom_site_occupancy
Pu1 Pu 0.333 0.667 0.927 1
Pu2 Pu 0.667 0.333 0.073 1
Pu3 Pu 0.333 0.667 0.573 1
Pu4 Pu 0.667 0.333 0.427 1
Al1 Al 0.655 0.828 0.250 1
Al2 Al 0.828 0.172 0.750 1
Al3 Al 0.345 0.172 0.750 1
Al4 Al 0.828 0.655 0.750 1
Al5 Al 0.172 0.345 0.250 1
Al6 Al 0.172 0.828 0.250 1
Ga1 Ga 0.000 0.000 0.000 1
Ga2 Ga 0.000 0.000 0.500 1
```

Pu3Al2Ga9: relaxed, GGA-PBE.

Computed properties:
DOS(E_F): 2.061 states/eV per atom
Calculated density: 8730 kg/m3
M_tot: 16.8 μB/cell
Crystal system: orthorhombic
Formation energy: -4.5 eV per formula unit
V: 269 Å³ per cell
Symmetry: Immm (71)

Geometry as CIF:
```
data_Pu3Al2Ga9
_chemical_formula_sum 'Pu3 Al2 Ga9'
_cell_length_a 8.332
_cell_length_b 8.332
_cell_length_c 8.332
_cell_angle_alpha 150.50
_cell_angle_beta 105.57
_cell_angle_gamma 82.03
_symmetry_space_group_name_H-M 'P 1'
_symmetry_Int_Tables_number 1
_symmetry_space_group_name_Hall 'P 1'
loop_
_atom_site_label
_atom_site_type_symbol
_atom_site_fract_x
_atom_site_fract_y
_atom_site_fract_z
_atom_site_occupancy
Ga1 Ga 0.132 0.857 0.275 1
Ga2 Ga 0.868 0.143 0.725 1
Ga3 Ga 0.417 0.143 0.275 1
Ga4 Ga 0.036 0.661 0.375 1
Ga5 Ga 0.583 0.857 0.725 1
Ga6 Ga 0.287 0.661 0.625 1
Ga7 Ga 0.713 0.339 0.375 1
Ga8 Ga 0.964 0.339 0.625 1
Ga9 Ga 0.500 0.000 0.500 1
Al1 Al 0.291 0.500 0.791 1
Al2 Al 0.709 0.500 0.209 1
Pu1 Pu 0.316 0.316 0.000 1
Pu2 Pu 0.000 0.000 0.000 1
Pu3 Pu 0.684 0.684 0.000 1
```

Pu2Al3Ga3: relaxed, GGA-PBE.

Computed properties:
DOS(E_F): 1.869 states/eV per atom
Calculated density: 7990 kg/m3
M_tot: 10.7 μB/cell
Crystal system: orthorhombic
Formation energy: -0.2 eV per formula unit
V: 162 Å³ per cell
Symmetry: Pmmm (47)

Geometry as CIF:
```
data_Pu2Al3Ga3
_chemical_formula_sum 'Pu2 Al3 Ga3'
_cell_length_a 2.872
_cell_length_b 5.252
_cell_length_c 10.724
_cell_angle_alpha 90.00
_cell_angle_beta 90.00
_cell_angle_gamma 90.00
_symmetry_space_group_name_H-M 'P 1'
_symmetry_Int_Tables_number 1
_symmetry_space_group_name_Hall 'P 1'
loop_
_atom_site_label
_atom_site_type_symbol
_atom_site_fract_x
_atom_site_fract_y
_atom_site_fract_z
_atom_site_occupancy
Ga1 Ga 0.500 0.500 0.727 1
Ga2 Ga 0.500 0.500 0.273 1
Ga3 Ga 0.500 0.000 0.000 1
Pu1 Pu 0.000 0.000 0.754 1
Pu2 Pu 0.000 0.000 0.246 1
Al1 Al 0.500 0.000 0.500 1
Al2 Al 0.000 0.500 0.500 1
Al3 Al 0.000 0.500 0.000 1
```

PuAlGa6: relaxed, GGA-PBE.

Computed properties:
DOS(E_F): 0.897 states/eV per atom
Calculated density: 7460 kg/m3
M_tot: 5.6 μB/cell
Crystal system: triclinic
Formation energy: -1.2 eV per formula unit
V: 153 Å³ per cell
Symmetry: P-1 (2)

Geometry as CIF:
```
data_PuAlGa6
_chemical_formula_sum 'Pu1 Al1 Ga6'
_cell_length_a 5.627
_cell_length_b 5.894
_cell_length_c 6.059
_cell_angle_alpha 63.17
_cell_angle_beta 101.04
_cell_angle_gamma 121.03
_symmetry_space_group_name_H-M 'P 1'
_symmetry_Int_Tables_number 1
_symmetry_space_group_name_Hall 'P 1'
loop_
_atom_site_label
_atom_site_type_symbol
_atom_site_fract_x
_atom_site_fract_y
_atom_site_fract_z
_atom_site_occupancy
Al1 Al 0.500 0.000 0.000 1
Ga1 Ga 0.006 0.613 0.256 1
Ga2 Ga 0.500 0.000 0.500 1
Ga3 Ga 0.994 0.387 0.744 1
Ga4 Ga 0.005 0.888 0.744 1
Ga5 Ga 0.500 0.500 0.000 1
Ga6 Ga 0.995 0.112 0.256 1
Pu1 Pu 0.500 0.500 0.500 1
```

PuAl2Ga3: relaxed, GGA-PBE.

Computed properties:
DOS(E_F): 1.966 states/eV per atom
Calculated density: 7479 kg/m3
M_tot: 10.8 μB/cell
Crystal system: hexagonal
Formation energy: -1.4 eV per formula unit
V: 225 Å³ per cell
Symmetry: P6_3/mmc (194)

Geometry as CIF:
```
data_PuAl2Ga3
_chemical_formula_sum 'Pu2 Al4 Ga6'
_cell_length_a 4.545
_cell_length_b 4.545
_cell_length_c 12.588
_cell_angle_alpha 90.00
_cell_angle_beta 90.00
_cell_angle_gamma 120.00
_symmetry_space_group_name_H-M 'P 1'
_symmetry_Int_Tables_number 1
_symmetry_space_group_name_Hall 'P 1'
loop_
_atom_site_label
_atom_site_type_symbol
_atom_site_fract_x
_atom_site_fract_y
_atom_site_fract_z
_atom_site_occupancy
Pu1 Pu 0.000 0.000 0.250 1
Pu2 Pu 0.000 0.000 0.750 1
Ga1 Ga 0.333 0.667 0.122 1
Ga2 Ga 0.333 0.667 0.378 1
Ga3 Ga 0.667 0.333 0.622 1
Ga4 Ga 0.000 0.000 0.500 1
Ga5 Ga 0.000 0.000 0.000 1
Ga6 Ga 0.667 0.333 0.878 1
Al1 Al 0.667 0.333 0.392 1
Al2 Al 0.667 0.333 0.108 1
Al3 Al 0.333 0.667 0.608 1
Al4 Al 0.333 0.667 0.892 1
```

Pu3Al7Ga2: relaxed, GGA-PBE.

Computed properties:
DOS(E_F): 2.091 states/eV per atom
Calculated density: 7585 kg/m3
M_tot: 5.5 μB/cell
Crystal system: trigonal
Formation energy: -3.4 eV per formula unit
V: 232 Å³ per cell
Symmetry: R-3m (166)

Geometry as CIF:
```
data_Pu3Al7Ga2
_chemical_formula_sum 'Pu3 Al7 Ga2'
_cell_length_a 5.531
_cell_length_b 5.531
_cell_length_c 9.324
_cell_angle_alpha 72.75
_cell_angle_beta 72.75
_cell_angle_gamma 60.00
_symmetry_space_group_name_H-M 'P 1'
_symmetry_Int_Tables_number 1
_symmetry_space_group_name_Hall 'P 1'
loop_
_atom_site_label
_atom_site_type_symbol
_atom_site_fract_x
_atom_site_fract_y
_atom_site_fract_z
_atom_site_occupancy
Al1 Al 0.414 0.923 0.249 1
Al2 Al 0.500 0.500 0.500 1
Al3 Al 0.077 0.586 0.751 1
Al4 Al 0.923 0.414 0.249 1
Al5 Al 0.414 0.414 0.249 1
Al6 Al 0.586 0.077 0.751 1
Al7 Al 0.586 0.586 0.751 1
Pu1 Pu 0.000 0.000 0.000 1
Pu2 Pu 0.142 0.142 0.574 1
Pu3 Pu 0.858 0.858 0.426 1
Ga1 Ga 0.335 0.335 0.995 1
Ga2 Ga 0.665 0.665 0.005 1
```

PuAlGaRh: relaxed, GGA-PBE.

Computed properties:
DOS(E_F): 2.719 states/eV per atom
Calculated density: 9151 kg/m3
M_tot: 5.4 μB/cell
Crystal system: trigonal
Formation energy: -1.8 eV per formula unit
V: 80 Å³ per cell
Symmetry: R3m (160)

Geometry as CIF:
```
data_PuAlGaRh
_chemical_formula_sum 'Pu1 Al1 Ga1 Rh1'
_cell_length_a 4.385
_cell_length_b 4.385
_cell_length_c 5.456
_cell_angle_alpha 66.31
_cell_angle_beta 66.31
_cell_angle_gamma 60.00
_symmetry_space_group_name_H-M 'P 1'
_symmetry_Int_Tables_number 1
_symmetry_space_group_name_Hall 'P 1'
loop_
_atom_site_label
_atom_site_type_symbol
_atom_site_fract_x
_atom_site_fract_y
_atom_site_fract_z
_atom_site_occupancy
Ga1 Ga 0.346 0.346 0.961 1
Al1 Al 0.595 0.595 0.216 1
Rh1 Rh 0.985 0.985 0.046 1
Pu1 Pu 0.800 0.800 0.600 1
```

Pu2Al2GaRh5: relaxed, GGA-PBE.

Computed properties:
DOS(E_F): 2.132 states/eV per atom
Calculated density: 11188 kg/m3
M_tot: 20.9 μB/cell
Crystal system: tetragonal
Formation energy: -6.2 eV per formula unit
V: 334 Å³ per cell
Symmetry: P4/mbm (127)

Geometry as CIF:
```
data_Pu2Al2GaRh5
_chemical_formula_sum 'Pu4 Al4 Ga2 Rh10'
_cell_length_a 3.103
_cell_length_b 10.380
_cell_length_c 10.380
_cell_angle_alpha 90.00
_cell_angle_beta 90.00
_cell_angle_gamma 90.00
_symmetry_space_group_name_H-M 'P 1'
_symmetry_Int_Tables_number 1
_symmetry_space_group_name_Hall 'P 1'
loop_
_atom_site_label
_atom_site_type_symbol
_atom_site_fract_x
_atom_site_fract_y
_atom_site_fract_z
_atom_site_occupancy
Al1 Al 0.000 0.370 0.130 1
Al2 Al 0.000 0.130 0.630 1
Al3 Al 0.000 0.870 0.370 1
Al4 Al 0.000 0.630 0.870 1
Ga1 Ga 0.000 0.000 0.000 1
Ga2 Ga 0.000 0.500 0.500 1
Rh1 Rh 0.500 0.943 0.197 1
Rh2 Rh 0.500 0.303 0.557 1
Rh3 Rh 0.500 0.057 0.803 1
Rh4 Rh 0.500 0.000 0.500 1
Rh5 Rh 0.500 0.557 0.697 1
Rh6 Rh 0.500 0.443 0.303 1
Rh7 Rh 0.500 0.500 0.000 1
Rh8 Rh 0.500 0.803 0.943 1
Rh9 Rh 0.500 0.197 0.057 1
Rh10 Rh 0.500 0.697 0.443 1
Pu1 Pu 0.000 0.674 0.174 1
Pu2 Pu 0.000 0.326 0.826 1
Pu3 Pu 0.000 0.826 0.674 1
Pu4 Pu 0.000 0.174 0.326 1
```